This record from Alexandria describes a geometry-optimized Pm8Te4PbSe3 structure. The functional is PBE-GGA.

Cell lengths 8.834, 8.834, 8.834 Å; angles 59.05, 59.05, 59.05 degrees
Fractional positions:
Pm 0.232 0.748 0.748
Pm 0.239 0.239 0.239
Pm 0.252 0.252 0.768
Pm 0.252 0.768 0.252
Pm 0.748 0.232 0.748
Pm 0.748 0.748 0.232
Pm 0.761 0.761 0.761
Pm 0.768 0.252 0.252
Te 0.000 0.000 0.000
Te 0.000 0.500 0.500
Te 0.500 0.000 0.500
Te 0.500 0.500 0.000
Pb 0.500 0.500 0.500
Se 0.000 0.000 0.500
Se 0.000 0.500 0.000
Se 0.500 0.000 0.000

## Properties
Energy relative to the elements, uncorrected   -1.4784 eV per atom


This record from Alexandria describes a geometry-optimized Pm6TlPb2Se3 structure. The functional is PBE-GGA.

Cell lengths 10.031, 10.031, 8.901 Å; angles 109.57, 109.57, 24.83 degrees
Fractional positions:
Pm 0.009 0.009 0.235
Pm 0.327 0.327 0.435
Pm 0.336 0.336 0.916
Pm 0.664 0.664 0.084
Pm 0.673 0.673 0.565
Pm 0.991 0.991 0.765
Tl 0.500 0.500 0.500
Pb 0.161 0.161 0.817
Pb 0.839 0.839 0.183
Se 0.169 0.169 0.326
Se 0.500 0.500 0.000
Se 0.831 0.831 0.674

## Properties
Energy relative to the elements, uncorrected   -1.1419 eV per atom


This record from Alexandria describes a geometry-optimized Pm8SiPb3 structure. The functional is PBE-GGA.

Cell lengths 9.083, 9.083, 9.083 Å; angles 131.92, 131.92, 70.35 degrees
Fractional positions:
Pm 0.121 0.121 0.482
Pm 0.121 0.639 0.000
Pm 0.361 0.361 0.482
Pm 0.361 0.879 0.000
Pm 0.639 0.121 0.000
Pm 0.639 0.639 0.518
Pm 0.879 0.361 0.000
Pm 0.879 0.879 0.518
Si 0.000 0.000 0.000
Pb 0.250 0.750 0.500
Pb 0.500 0.500 0.000
Pb 0.750 0.250 0.500

## Properties
Energy relative to the elements, uncorrected   -0.3003 eV per atom


This record from Alexandria describes a geometry-optimized Pm12SiPb6 structure. The functional is PBE-GGA.

Cell lengths 8.945, 8.945, 8.945 Å; angles 99.16, 99.16, 99.16 degrees
Fractional positions:
Pm 0.026 0.936 0.681
Pm 0.064 0.319 0.974
Pm 0.195 0.558 0.424
Pm 0.319 0.974 0.064
Pm 0.424 0.195 0.558
Pm 0.442 0.576 0.805
Pm 0.558 0.424 0.195
Pm 0.576 0.805 0.442
Pm 0.681 0.026 0.936
Pm 0.805 0.442 0.576
Pm 0.936 0.681 0.026
Pm 0.974 0.064 0.319
Si 0.000 0.000 0.000
Pb 0.121 0.306 0.631
Pb 0.306 0.631 0.121
Pb 0.369 0.879 0.694
Pb 0.631 0.121 0.306
Pb 0.694 0.369 0.879
Pb 0.879 0.694 0.369

## Properties
Energy relative to the elements, uncorrected   -0.2854 eV per atom